1.
# Sc5ZnCd2Pd2 (PBE, optimized geometry)
# formation enthalpy at 0 K = -0.453 eV/atom
# V = 21.1 A^3/atom
data_Sc5ZnCd2Pd2
_chemical_formula_sum 'Sc10 Zn2 Cd4 Pd4'
_cell_length_a 11.0942
_cell_length_b 11.0942
_cell_length_c 3.4271
_cell_angle_alpha 90.00
_cell_angle_beta 90.00
_cell_angle_gamma 90.00
_space_group_name_H-M_alt 'P 4/m b m'
_space_group_IT_number 127
_space_group_name_Hall '-P 4 2ab'
loop_
_atom_site_label
_atom_site_type_symbol
_atom_site_fract_x
_atom_site_fract_y
_atom_site_fract_z
Sc1 Sc 0.0000 0.5000 0.0000
Sc2 Sc 0.0769 0.1920 0.0000
Zn1 Zn 0.0000 0.0000 0.5000
Cd1 Cd 0.1704 0.6704 0.5000
Pd1 Pd 0.1327 0.3673 0.5000

2.
# MgCd8Ag5 (PBE, optimized geometry)
# formation enthalpy at 0 K = 0.044 eV/atom
# V = 21.5 A^3/atom
# energy above the lowest structure with this stoichiometry = 0 meV per atom
data_MgCd8Ag5
_chemical_formula_sum 'Mg2 Cd16 Ag10'
_cell_length_a 8.0572
_cell_length_b 8.0572
_cell_length_c 9.2874
_cell_angle_alpha 90.00
_cell_angle_beta 90.00
_cell_angle_gamma 90.00
_space_group_name_H-M_alt 'I -4'
_space_group_IT_number 82
_space_group_name_Hall 'I -4'
loop_
_atom_site_label
_atom_site_type_symbol
_atom_site_fract_x
_atom_site_fract_y
_atom_site_fract_z
Mg1 Mg 0.0000 0.0000 0.0000
Cd1 Cd 0.0691 0.1679 0.3396
Cd2 Cd 0.1039 0.3355 0.9952
Ag1 Ag 0.0000 0.5000 0.2500
Ag2 Ag 0.1248 0.2978 0.6774

3.
# CoHCSe (PBE, optimized geometry)
# V = 11.3 A^3/atom
# energy above the lowest structure with this stoichiometry = 316 meV per atom
data_CoHCSe
_chemical_formula_sum 'Co2 H2 C2 Se2'
_cell_length_a 5.0427
_cell_length_b 3.0271
_cell_length_c 5.9330
_cell_angle_alpha 90.00
_cell_angle_beta 90.00
_cell_angle_gamma 90.00
_space_group_name_H-M_alt 'A m m 2'
_space_group_IT_number 38
_space_group_name_Hall 'A 2 -2'
loop_
_atom_site_label
_atom_site_type_symbol
_atom_site_fract_x
_atom_site_fract_y
_atom_site_fract_z
Co1 Co 0.0000 0.0000 0.0000
H1 H 0.5000 0.0000 0.2648
C1 C 0.0000 0.0000 0.6762
Se1 Se 0.5000 0.0000 0.0104

4.
# Na2CuC3 (PBE, optimized geometry)
# formation enthalpy at 0 K = 0.590 eV/atom
# V = 12.6 A^3/atom
data_Na2CuC3
_chemical_formula_sum 'Na4 Cu2 C6'
_cell_length_a 6.0882
_cell_length_b 6.0882
_cell_length_c 4.0839
_cell_angle_alpha 90.00
_cell_angle_beta 90.00
_cell_angle_gamma 90.00
_space_group_name_H-M_alt 'P 4/m b m'
_space_group_IT_number 127
_space_group_name_Hall '-P 4 2ab'
loop_
_atom_site_label
_atom_site_type_symbol
_atom_site_fract_x
_atom_site_fract_y
_atom_site_fract_z
Na1 Na 0.1750 0.3250 0.0000
Cu1 Cu 0.0000 0.0000 0.5000
C1 C 0.0000 0.5000 0.5000
C2 C 0.1536 0.6536 0.5000

5.
# TlSCl2 (PBE, optimized geometry)
# raw formation energy = 0.138 eV per atom
# V = 26.3 A^3/atom
# energy above the lowest structure with this stoichiometry = 325 meV per atom
data_TlSCl2
_chemical_formula_sum 'Tl4 S4 Cl8'
_cell_length_a 7.4942
_cell_length_b 7.4942
_cell_length_c 7.4942
_cell_angle_alpha 90.00
_cell_angle_beta 90.00
_cell_angle_gamma 90.00
_space_group_name_H-M_alt 'F m -3 m'
_space_group_IT_number 225
_space_group_name_Hall '-F 4 2 3'
loop_
_atom_site_label
_atom_site_type_symbol
_atom_site_fract_x
_atom_site_fract_y
_atom_site_fract_z
Tl1 Tl 0.0000 0.0000 0.0000
S1 S 0.0000 0.0000 0.5000
Cl1 Cl 0.2500 0.2500 0.2500

6.
# TlIn2SnHg (PBE, optimized geometry)
# formation enthalpy at 0 K = 0.039 eV/atom
# V = 30.0 A^3/atom
data_TlIn2SnHg
_chemical_formula_sum 'Tl4 In8 Sn4 Hg4'
_cell_length_a 6.7413
_cell_length_b 12.8776
_cell_length_c 6.9208
_cell_angle_alpha 90.00
_cell_angle_beta 90.00
_cell_angle_gamma 90.00
_space_group_name_H-M_alt 'C m c m'
_space_group_IT_number 63
_space_group_name_Hall '-C 2c 2'
loop_
_atom_site_label
_atom_site_type_symbol
_atom_site_fract_x
_atom_site_fract_y
_atom_site_fract_z
Tl1 Tl 0.0000 0.2382 0.2500
In1 In 0.2446 0.5000 0.0000
Sn1 Sn 0.0000 0.1407 0.7500
Hg1 Hg 0.0000 0.3598 0.7500

7.
# TbB6Ir6 (PBE, optimized geometry)
# formation enthalpy at 0 K = 0.261 eV/atom
# V = 11.5 A^3/atom
data_TbB6Ir6
_chemical_formula_sum 'Tb2 B12 Ir12'
_cell_length_a 4.8737
_cell_length_b 7.6164
_cell_length_c 8.0443
_cell_angle_alpha 90.00
_cell_angle_beta 90.00
_cell_angle_gamma 90.00
_space_group_name_H-M_alt 'I m m m'
_space_group_IT_number 71
_space_group_name_Hall '-I 2 2'
loop_
_atom_site_label
_atom_site_type_symbol
_atom_site_fract_x
_atom_site_fract_y
_atom_site_fract_z
Tb1 Tb 0.0000 0.0000 0.0000
B1 B 0.0000 0.2658 0.5000
B2 B 0.2500 0.2500 0.2500
Ir1 Ir 0.0000 0.0000 0.3399
Ir2 Ir 0.0000 0.3321 0.0000
Ir3 Ir 0.0000 0.5000 0.3165

8.
# ErZrPt2 (PBE, optimized geometry)
# formation enthalpy at 0 K = -1.125 eV/atom
# V = 20.8 A^3/atom
data_ErZrPt2
_chemical_formula_sum 'Er4 Zr4 Pt8'
_cell_length_a 5.6065
_cell_length_b 5.5837
_cell_length_c 11.0339
_cell_angle_alpha 90.00
_cell_angle_beta 105.53
_cell_angle_gamma 90.00
_space_group_name_H-M_alt 'P 1 2/c 1'
_space_group_IT_number 13
_space_group_name_Hall '-P 2yc'
loop_
_atom_site_label
_atom_site_type_symbol
_atom_site_fract_x
_atom_site_fract_y
_atom_site_fract_z
Er1 Er 0.1962 0.1245 0.1444
Zr1 Zr 0.3033 0.3709 0.8578
Pt1 Pt 0.1730 0.3789 0.6001
Pt2 Pt 0.3342 0.1376 0.4118

9.
# RbPuInTe3 (PBE, optimized geometry)
# raw formation energy = -0.770 eV per atom
# V = 39.9 A^3/atom
data_RbPuInTe3
_chemical_formula_sum 'Rb2 Pu2 In2 Te6'
_cell_length_a 9.3915
_cell_length_b 4.8892
_cell_length_c 11.0771
_cell_angle_alpha 90.00
_cell_angle_beta 109.91
_cell_angle_gamma 90.00
_space_group_name_H-M_alt 'P 1 21/m 1'
_space_group_IT_number 11
_space_group_name_Hall '-P 2yb'
loop_
_atom_site_label
_atom_site_type_symbol
_atom_site_fract_x
_atom_site_fract_y
_atom_site_fract_z
Rb1 Rb 0.2437 0.2500 0.2502
Pu1 Pu 0.3134 0.7500 0.8703
In1 In 0.1060 0.2500 0.6237
Te1 Te 0.0830 0.2500 0.8736
Te2 Te 0.2211 0.7500 0.5477
Te3 Te 0.4866 0.7500 0.1635

10.
# In2AuSe (PBE, optimized geometry)
# raw formation energy = -0.216 eV per atom
# V = 31.6 A^3/atom
data_In2AuSe
_chemical_formula_sum 'In8 Au4 Se4'
_cell_length_a 6.8169
_cell_length_b 6.8169
_cell_length_c 10.8849
_cell_angle_alpha 90.00
_cell_angle_beta 90.00
_cell_angle_gamma 90.00
_space_group_name_H-M_alt 'I -4 2 d'
_space_group_IT_number 122
_space_group_name_Hall 'I -4 2bw'
loop_
_atom_site_label
_atom_site_type_symbol
_atom_site_fract_x
_atom_site_fract_y
_atom_site_fract_z
In1 In 0.2411 0.2500 0.1250
Au1 Au 0.0000 0.0000 0.0000
Se1 Se 0.0000 0.0000 0.5000

11.
# Nb3Al (PBE, optimized geometry)
# formation enthalpy at 0 K = -0.085 eV/atom
# V = 17.8 A^3/atom
data_Nb3Al
_chemical_formula_sum 'Nb6 Al2'
_cell_length_a 3.9338
_cell_length_b 3.9338
_cell_length_c 9.2029
_cell_angle_alpha 90.00
_cell_angle_beta 90.00
_cell_angle_gamma 90.00
_space_group_name_H-M_alt 'I 4/m m m'
_space_group_IT_number 139
_space_group_name_Hall '-I 4 2'
loop_
_atom_site_label
_atom_site_type_symbol
_atom_site_fract_x
_atom_site_fract_y
_atom_site_fract_z
Nb1 Nb 0.0000 0.0000 0.0000
Nb2 Nb 0.0000 0.5000 0.2500
Al1 Al 0.0000 0.0000 0.5000

12.
# NbReTe2 (PBE, optimized geometry)
# raw formation energy = 0.584 eV per atom
# V = 21.6 A^3/atom
# energy above the lowest structure with this stoichiometry = 189 meV per atom
data_NbReTe2
_chemical_formula_sum 'Nb3 Re3 Te6'
_cell_length_a 3.2898
_cell_length_b 3.2898
_cell_length_c 27.6688
_cell_angle_alpha 90.00
_cell_angle_beta 90.00
_cell_angle_gamma 120.00
_space_group_name_H-M_alt 'R -3 m'
_space_group_IT_number 166
_space_group_name_Hall '-R 3 2"'
loop_
_atom_site_label
_atom_site_type_symbol
_atom_site_fract_x
_atom_site_fract_y
_atom_site_fract_z
Nb1 Nb 0.0000 0.0000 0.0000
Re1 Re 0.0000 0.0000 0.5000
Te1 Te 0.0000 0.0000 0.4074

| no. | total magnetization (Bohr magnetons per cell) | total DFT energy (no corrections) (eV per atom) | density (kg/m3) |
| --- | --- | --- | --- |
| 1 | 0.0 | -4.97 | 5731 |
| 2 | 0.0 | -1.61 | 8058 |
| 3 | 0.0 | -5.17 | 5534 |
| 4 | 0.0 | -5.14 | 3193 |
| 5 | 12.0 | -2.41 | 4850 |
| 6 | 0.0 | -2.39 | 8328 |
| 7 | 0.0 | -7.27 | 15316 |
| 8 | 0.0 | -7.42 | 12946 |
| 9 | 11.0 | -5.35 | 5744 |
| 10 | 0.0 | -3.28 | 6639 |
| 11 | 0.0 | -8.57 | 7129 |
| 12 | 0.0 | -6.62 | 10263 |